# PBE-GGA YAlAg, optimized geometry
data_YAlAg
_chemical_formula_sum 'Y4 Al4 Ag4'
_cell_length_a 6.6098
_cell_length_b 6.6098
_cell_length_c 6.6098
_cell_angle_alpha 90.00
_cell_angle_beta 90.00
_cell_angle_gamma 90.00
_space_group_name_H-M_alt 'F -4 3 m'
_space_group_IT_number 216
_space_group_name_Hall 'F -4 2 3'
loop_
_atom_site_label
_atom_site_type_symbol
_atom_site_fract_x
_atom_site_fract_y
_atom_site_fract_z
Y1 Y 0.0000 0.0000 0.0000
Al1 Al 0.0000 0.0000 0.5000
Ag1 Ag 0.2500 0.2500 0.7500
# Crystal system: cubic
# Total energy, eV/f.u.: -13.6
# Theoretical density, g/cm³: 5.1

# PBE-GGA CdTeNO, optimized geometry
data_CdTeNO
_chemical_formula_sum 'Cd2 Te2 N2 O2'
_cell_length_a 4.8164
_cell_length_b 4.8164
_cell_length_c 5.0091
_cell_angle_alpha 90.00
_cell_angle_beta 90.00
_cell_angle_gamma 90.00
_space_group_name_H-M_alt 'P 4/n m m'
_space_group_IT_number 129
loop_
_space_group_symop_operation_xyz
'x,y,z'
'-x,-y,-z'
'-y+1/2,x,z'
'y+1/2,-x,-z'
'-x+1/2,-y+1/2,z'
'x+1/2,y+1/2,-z'
'y,-x+1/2,z'
'-y,x+1/2,-z'
'x+1/2,-y,-z'
'-x+1/2,y,z'
'-y,-x,-z'
'y,x,z'
'-x,y+1/2,-z'
'x,-y+1/2,z'
'y+1/2,x+1/2,-z'
'-y+1/2,-x+1/2,z'
loop_
_atom_site_label
_atom_site_type_symbol
_atom_site_fract_x
_atom_site_fract_y
_atom_site_fract_z
Cd1 Cd 0.2500 0.2500 0.0027
Te1 Te 0.2500 0.7500 0.5000
N1 N 0.2500 0.2500 0.5025
O1 O 0.2500 0.7500 0.0000
# Crystal system: tetragonal
# Excess energy over the best structure of this formula in the dataset, kJ/mol of formula units: 79
# Total energy, eV/f.u.: -16.5
# Theoretical density, g/cm³: 7.7